(1)
DFT (PBE) results for a relaxed Mg3PtO crystal.

Results
E: -0.2335 Ry/atom
E above lowest polymorph: 6.57 eV per formula unit
formation energy from raw total energies: -21 meV per atom

Lattice parameters (Å, degrees): 4.9113 4.9113 4.9113 90.00 90.00 90.00
Last column: nearest neighbours and their distance in Å.
Atoms (fractional coordinates):
Mg: 0.0000 0.5000 0.0000  2 Pt 2.46
Mg: 0.0000 0.0000 0.5000  2 Pt 2.46
Mg: 0.5000 0.0000 0.0000  2 Pt 2.46
O: 0.5000 0.5000 0.5000  12 Mg 3.47
Pt: 0.0000 0.0000 0.0000  6 Mg 2.46

=====

(2)
DFT (PBE) results for a relaxed MgPtO crystal.

Results
E: -0.4142 Ry/atom
formation energy from raw total energies: -1438 meV per atom

Lattice parameters (Å, degrees): 2.8578 2.8577 9.5401 98.63 98.58 90.00
Last column: nearest neighbours and their distance in Å.
Atoms (fractional coordinates):
Mg: 0.2518 0.0949 0.4867  5 O 2.02-2.25
Mg: 0.8783 0.7223 0.7411  5 O 2.02-2.25
Pt: 0.6321 0.4750 0.2472  1 O 2.36, 1 Pt 2.49
Pt: 0.4982 0.3419 0.9805  1 O 2.36, 1 Pt 2.49
O: 0.3717 0.2157 0.7278  5 Mg 2.02-2.25
O: 0.7584 0.6015 0.4999  5 Mg 2.02-2.25

=====

(3)
DFT (PBE) results for a relaxed Mg2PtO4 crystal.

Results
E: -0.4289 Ry/atom
formation energy from raw total energies: -1684 meV per atom

Lattice parameters (Å, degrees): 3.1943 5.2185 5.9282 122.45 105.63 90.00
Last column: nearest neighbours and their distance in Å.
Atoms (fractional coordinates):
Mg: 0.6857 0.7203 0.3715  4 O 1.97-2.07
Mg: 0.3143 0.2797 0.6285  4 O 1.97-2.07
Pt: 0.0000 0.0000 0.0000  6 O 2.03-2.08
O: 0.8718 0.1563 0.7437  3 Mg 1.97-2.07, 1 Pt 2.03
O: 0.1282 0.8437 0.2563  3 Mg 1.97-2.07, 1 Pt 2.03
O: 0.6219 0.2740 0.2438  1 Mg 2.02, 2 Pt 2.08
O: 0.3781 0.7260 0.7562  1 Mg 2.02, 2 Pt 2.08